# TlGa2Pb2 | the Alexandria database | GGA-PBE | optimized geometry
# calculated volume: 144 Å³ per cell
# E: -3.0825 eV per atom
# formation energy from the elements: 85 meV/atom
# E above lowest polymorph: 27 meV/atom
# crystal system: tetragonal
data_TlGa2Pb2
_chemical_formula_sum 'Tl1 Ga2 Pb2'
_symmetry_space_group_name_H-M 'P 1'
_symmetry_Int_Tables_number 1
_symmetry_space_group_name_Hall 'P 1'
_cell_length_a 6.773
_cell_length_b 6.773
_cell_length_c 6.773
_cell_angle_alpha 136.76
_cell_angle_beta 136.76
_cell_angle_gamma 62.80
loop_
_atom_site_label
_atom_site_type_symbol
_atom_site_fract_x
_atom_site_fract_y
_atom_site_fract_z
Tl1 Tl 0.000 0.000 0.000
Ga1 Ga 0.393 0.393 0.000
Ga2 Ga 0.607 0.607 0.000
Pb1 Pb 0.250 0.750 0.500
Pb2 Pb 0.750 0.250 0.500